[1]
Compound: SrCr2In
Source: the Alexandria database
Functional: PBE
Structure: relaxed

Unit cell a=4.5063 b=4.5063 c=17.4760 alpha=90.00 beta=90.00 gamma=120.00
Space group R3m (No. 160, hexagonal axes)
Asymmetric unit:
Sr 0.0000 0.0000 0.0000 x3
Cr 0.0000 0.0000 0.4742 x3
Cr 0.0000 0.0000 0.8027 x3
In 0.0000 0.0000 0.1966 x3

Total DFT energy (no corrections), eV/atom: -5.627
D(E_F), states/eV/cell: 7.256
Formation energy, eV/atom: 0.290
Theoretical density, Mg/m³: 4.97


[2]
Compound: SrCrIn
Source: the Alexandria database
Functional: PBE
Structure: relaxed

Unit cell a=7.5322 b=7.5322 c=7.5322 alpha=90.00 beta=90.00 gamma=90.00
Space group F-43m (No. 216)
Asymmetric unit:
Sr 0.0000 0.0000 0.0000 x4
Cr 0.2500 0.2500 0.2500 x4
In 0.2500 0.2500 0.7500 x4

Total DFT energy (no corrections), eV/atom: -3.821
D(E_F), states/eV/cell: 18.672
Formation energy, eV/atom: 0.860
Theoretical density, Mg/m³: 3.95


[3]
Compound: SrCrIn
Source: the Alexandria database
Functional: PBE
Structure: relaxed

Unit cell a=3.8130 b=3.8130 c=11.5535 alpha=90.00 beta=90.00 gamma=90.00
Space group I4mm (No. 107)
Asymmetric unit:
Sr 0.0000 0.0000 0.0000 x2
Cr 0.0000 0.0000 0.2967 x2
In 0.0000 0.0000 0.6982 x2

Total DFT energy (no corrections), eV/atom: -4.448
D(E_F), states/eV/cell: 2.926
Formation energy, eV/atom: 0.233
Theoretical density, Mg/m³: 5.03